# LiYErBe

A relaxed structure of LiYErBe (GGA-PBE, Alexandria).

Unit cell a=7.031 b=7.031 c=7.031 alpha=90.00 beta=90.00 gamma=90.00
Sites, in units of the cell vectors:
Li 0.000 0.000 0.000
Li 0.000 0.500 0.500
Li 0.500 0.000 0.500
Li 0.500 0.500 0.000
Y 0.250 0.250 0.750
Y 0.250 0.750 0.250
Y 0.750 0.250 0.250
Y 0.750 0.750 0.750
Er 0.250 0.250 0.250
Er 0.250 0.750 0.750
Er 0.750 0.250 0.750
Er 0.750 0.750 0.250
Be 0.000 0.000 0.500
Be 0.000 0.500 0.000
Be 0.500 0.000 0.000
Be 0.500 0.500 0.500

Magnetic moment: 0.0 μB/f.u.
Raw total energy: -4.044 eV/atom
SG: F-43m

=====

# RePRhCl2

A relaxed structure of RePRhCl2 (GGA-PBE, Alexandria).

Unit cell a=4.711 b=4.711 c=4.655 alpha=90.00 beta=90.00 gamma=90.00
Sites, in units of the cell vectors:
Re 0.000 0.000 0.000
P 0.000 0.000 0.500
Rh 0.500 0.500 0.500
Cl 0.000 0.500 0.000
Cl 0.500 0.000 0.000

Formation energy (no corrections): 465 kJ/mol of formula units
Magnetic moment: 0.2 μB/f.u.
SG: P4/mmm
Distance to the lowest polymorph of the same formula: 0 meV/atom

=====

# Na3HoSc2O6

A relaxed structure of Na3HoSc2O6 (GGA-PBE, Alexandria).

Unit cell a=5.648 b=5.648 c=5.827 alpha=99.26 beta=99.26 gamma=120.03
Sites, in units of the cell vectors:
Na 0.000 0.000 0.000
Na 0.329 0.671 0.000
Na 0.671 0.329 0.000
Ho 0.500 0.500 0.500
Sc 0.167 0.833 0.500
Sc 0.833 0.167 0.500
O 0.085 0.432 0.295
O 0.222 0.222 0.706
O 0.432 0.085 0.295
O 0.568 0.915 0.705
O 0.778 0.778 0.294
O 0.915 0.568 0.705

Formation energy (no corrections): -3274 kJ/mol of formula units
Magnetic moment: 0.0 μB/f.u.
SG: C2/m

=====

# NaAg2Cl

A relaxed structure of NaAg2Cl (GGA-PBE, Alexandria).

Unit cell a=7.053 b=7.053 c=7.053 alpha=90.00 beta=90.00 gamma=90.00
Sites, in units of the cell vectors:
Na 0.000 0.000 0.000
Na 0.000 0.500 0.500
Na 0.500 0.000 0.500
Na 0.500 0.500 0.000
Ag 0.250 0.250 0.250
Ag 0.250 0.250 0.750
Ag 0.250 0.750 0.250
Ag 0.250 0.750 0.750
Ag 0.750 0.250 0.250
Ag 0.750 0.250 0.750
Ag 0.750 0.750 0.250
Ag 0.750 0.750 0.750
Cl 0.000 0.000 0.500
Cl 0.000 0.500 0.000
Cl 0.500 0.000 0.000
Cl 0.500 0.500 0.500

Formation energy (no corrections): 16 kJ/mol of formula units
Magnetic moment: 0.0 μB/f.u.
SG: Fm-3m
Distance to the lowest polymorph of the same formula: 241 meV/atom